Record 1
The following is a PBE-GGA calculation of an optimized crystal structure of AcInPdAu, from the Alexandria database.

distance to the lowest polymorph of the same formula	0.089	eV/atom
Fermi-level density of states	3.4	states/eV/cell
calculated total energy	-4.444	eV/atom

a = 5.165 Å, b = 5.165 Å, c = 5.165 Å
α = 60.00°, β = 60.00°, γ = 60.00°
Fractional coordinates of all 4 atoms:
Au 0.000 0.000 0.000
Pd 0.500 0.500 0.500
In 0.250 0.250 0.250
Ac 0.750 0.750 0.750

=====

Record 2
The following is a PBE-GGA calculation of an optimized crystal structure of Ac3In2Pd6Au, from the Alexandria database.

Fermi-level density of states	5.0	states/eV/cell
calculated total energy	-5.023	eV/atom

a = 5.921 Å, b = 5.921 Å, c = 9.197 Å
α = 90.00°, β = 90.00°, γ = 120.00°
Fractional coordinates of all 12 atoms:
Pd 0.174 0.826 0.272
Pd 0.826 0.651 0.728
Pd 0.349 0.174 0.728
Pd 0.651 0.826 0.272
Pd 0.826 0.174 0.728
Pd 0.174 0.349 0.272
Au 0.000 0.000 0.500
Ac 0.000 0.000 0.000
Ac 0.667 0.333 0.385
Ac 0.333 0.667 0.615
In 0.333 0.667 0.017
In 0.667 0.333 0.983

=====

Record 3
The following is a PBE-GGA calculation of an optimized crystal structure of Ac3In2Pd2Au4, from the Alexandria database.

Fermi-level density of states	6.6	states/eV/cell
calculated total energy	-4.445	eV/atom

a = 4.752 Å, b = 4.752 Å, c = 15.009 Å
α = 90.00°, β = 90.00°, γ = 120.00°
Fractional coordinates of all 11 atoms:
Pd 0.667 0.333 0.861
Pd 0.333 0.667 0.139
Ac 0.000 0.000 0.000
Ac 0.000 0.000 0.262
Ac 0.000 0.000 0.738
Au 0.333 0.667 0.379
Au 0.667 0.333 0.621
Au 0.333 0.667 0.871
Au 0.667 0.333 0.129
In 0.333 0.667 0.567
In 0.667 0.333 0.433

=====

Record 4
The following is a PBE-GGA calculation of an optimized crystal structure of AcInPd2Au, from the Alexandria database.

Fermi-level density of states	4.8	states/eV/cell
calculated total energy	-4.641	eV/atom

a = 5.854 Å, b = 5.818 Å, c = 7.448 Å
α = 112.99°, β = 90.00°, γ = 90.00°
Fractional coordinates of all 10 atoms:
Pd 0.298 0.152 0.305
Pd 0.702 0.652 0.305
Pd 0.702 0.848 0.695
Pd 0.298 0.348 0.695
Au 0.000 0.500 0.000
Au 0.000 0.000 0.000
In 0.500 0.750 0.000
In 0.500 0.250 0.000
Ac 0.771 0.250 0.500
Ac 0.229 0.750 0.500

=====

Record 5
The following is a PBE-GGA calculation of an optimized crystal structure of AcIn2PdAu2, from the Alexandria database.

Fermi-level density of states	2.1	states/eV/cell
calculated total energy	-3.694	eV/atom

a = 5.393 Å, b = 5.393 Å, c = 6.988 Å
α = 112.70°, β = 112.70°, γ = 90.00°
Fractional coordinates of all 6 atoms:
Au 0.228 0.228 0.455
Au 0.772 0.772 0.545
Ac 0.500 0.500 0.000
In 0.250 0.750 0.500
In 0.750 0.250 0.500
Pd 0.000 0.000 0.000

=====

Record 6
The following is a PBE-GGA calculation of an optimized crystal structure of AcInPd4Au2, from the Alexandria database.

Fermi-level density of states	2.8	states/eV/cell
calculated total energy	-4.788	eV/atom

a = 4.655 Å, b = 4.655 Å, c = 8.827 Å
α = 74.71°, β = 74.71°, γ = 60.00°
Fractional coordinates of all 8 atoms:
Pd 0.396 0.396 0.813
Pd 0.872 0.872 0.385
Pd 0.604 0.604 0.187
Pd 0.128 0.128 0.615
Au 0.753 0.753 0.740
Au 0.247 0.247 0.260
In 0.500 0.500 0.500
Ac 0.000 0.000 0.000

=====

Record 7
The following is a PBE-GGA calculation of an optimized crystal structure of Ac2In6PdAu, from the Alexandria database.

Fermi-level density of states	5.2	states/eV/cell
calculated total energy	-3.786	eV/atom

a = 6.506 Å, b = 6.506 Å, c = 7.813 Å
α = 114.56°, β = 114.55°, γ = 90.13°
Fractional coordinates of all 10 atoms:
In 0.298 0.299 0.596
In 0.807 0.807 0.615
In 0.208 0.208 0.915
In 0.707 0.208 0.915
In 0.208 0.708 0.915
In 0.707 0.708 0.916
Ac 0.691 0.191 0.381
Ac 0.190 0.691 0.381
Au 0.596 0.596 0.190
Pd 0.087 0.088 0.174

=====

Record 8
The following is a PBE-GGA calculation of an optimized crystal structure of Ac2InPd3Au12, from the Alexandria database.

Fermi-level density of states	8.0	states/eV/cell
calculated total energy	-3.682	eV/atom

a = 8.421 Å, b = 8.421 Å, c = 8.421 Å
α = 63.71°, β = 63.71°, γ = 63.71°
Fractional coordinates of all 18 atoms:
Au 0.137 0.619 0.137
Au 0.633 0.128 0.633
Au 0.128 0.633 0.633
Au 0.367 0.872 0.367
Au 0.633 0.633 0.128
Au 0.381 0.863 0.863
Au 0.619 0.137 0.137
Au 0.137 0.137 0.619
Au 0.863 0.381 0.863
Au 0.367 0.367 0.872
Au 0.872 0.367 0.367
Au 0.863 0.863 0.381
Pd 0.000 0.000 0.500
Pd 0.000 0.500 0.000
Pd 0.500 0.000 0.000
In 0.000 0.000 0.000
Ac 0.613 0.613 0.613
Ac 0.387 0.387 0.387